# CdCu2Ir

CdCu2Ir after structural relaxation (PBE, the Alexandria database).

Values from the calculation:
The value obtained for the density of states at the Fermi level is 0.855 states/eV per atom. As for the total energy: -4.33 eV per atom. The size of the total moment comes out at 0.00 μB per formula unit. Its density is 12.2 g cm⁻³. The calculation puts the formation energy at 0.166 eV per atom.

a = 2.7510 Å, b = 4.1901 Å, c = 5.2579 Å
α = 90.00°, β = 105.05°, γ = 90.00°
Space group Pm (No. 6)
Unique sites:
Cd 0.0000 0.0000 0.0000 [1 per cell]
Cu 0.6121 0.5000 0.2269 [1 per cell]
Cu 0.7456 0.0000 0.4886 [1 per cell]
Ir 0.3427 0.5000 0.6852 [1 per cell]